# 1
# LaSm4Te6 (PBE, optimized geometry)
# Calculated volume in Å³/f.u.: 362.62
# DOS(E_F) in states/eV/f.u.: 3.8
# Formation energy from raw total energies in meV per atom: -1464
data_LaSm4Te6
_chemical_formula_sum 'La4 Sm16 Te24'
_cell_length_a 4.401
_cell_length_b 14.543
_cell_length_c 22.665
_cell_angle_alpha 90.00
_cell_angle_beta 90.00
_cell_angle_gamma 90.00
_symmetry_space_group_name_H-M 'C m c m'
_symmetry_Int_Tables_number 63
_symmetry_space_group_name_Hall '-C 2c 2'
loop_
_atom_site_label
_atom_site_type_symbol
_atom_site_fract_x
_atom_site_fract_y
_atom_site_fract_z
_atom_site_occupancy
La1 La 0.000 0.157 0.250 1
Sm1 Sm 0.000 0.089 0.625 1
Sm2 Sm 0.000 0.357 0.536 1
Te1 Te 0.000 0.000 0.000 1
Te2 Te 0.000 0.181 0.750 1
Te3 Te 0.000 0.267 0.093 1
Te4 Te 0.000 0.447 0.665 1

---

# 2
# LaTl7 (PBE, optimized geometry)
# Calculated volume in Å³/f.u.: 240.73
# E_form in meV/atom: -145
# DOS(E_F) in states/eV/f.u.: 4.0
data_LaTl7
_chemical_formula_sum 'La4 Tl28'
_cell_length_a 9.875
_cell_length_b 9.875
_cell_length_c 9.875
_cell_angle_alpha 90.00
_cell_angle_beta 90.00
_cell_angle_gamma 90.00
_symmetry_space_group_name_H-M 'F m -3 m'
_symmetry_Int_Tables_number 225
_symmetry_space_group_name_Hall '-F 4 2 3'
loop_
_atom_site_label
_atom_site_type_symbol
_atom_site_fract_x
_atom_site_fract_y
_atom_site_fract_z
_atom_site_occupancy
La1 La 0.000 0.000 0.000 1
Tl1 Tl 0.000 0.000 0.500 1
Tl2 Tl 0.000 0.250 0.250 1

---

# 3
# CdSnSCl2 (PBE, optimized geometry)
# Offset from the most stable computed form in meV per atom: 0.0
# Calculated volume in Å³/f.u.: 133.66
# DOS(E_F) in states/eV/f.u.: 0.1
# Formation energy from raw total energies in meV per atom: -381
data_CdSnSCl2
_chemical_formula_sum 'Cd1 Sn1 S1 Cl2'
_cell_length_a 5.051
_cell_length_b 5.051
_cell_length_c 5.239
_cell_angle_alpha 90.00
_cell_angle_beta 90.00
_cell_angle_gamma 90.00
_symmetry_space_group_name_H-M 'P 4/m m m'
_symmetry_Int_Tables_number 123
_symmetry_space_group_name_Hall '-P 4 2'
loop_
_atom_site_label
_atom_site_type_symbol
_atom_site_fract_x
_atom_site_fract_y
_atom_site_fract_z
_atom_site_occupancy
Cd1 Cd 0.000 0.000 0.000 1
Sn1 Sn 0.500 0.500 0.500 1
S1 S 0.000 0.000 0.500 1
Cl1 Cl 0.000 0.500 0.000 1

---

# 4
# Nd8Y4Pu (PBE, optimized geometry)
# Calculated volume in Å³/f.u.: 469.87
# E_form in meV/atom: 450
# DOS(E_F) in states/eV/f.u.: 31.5
data_Nd8Y4Pu
_chemical_formula_sum 'Nd24 Y12 Pu3'
_cell_length_a 11.8744
_cell_length_b 11.8744
_cell_length_c 11.5438
_cell_angle_alpha 90.00
_cell_angle_beta 90.00
_cell_angle_gamma 120.00
_symmetry_space_group_name_H-M 'R -3 m'
_symmetry_Int_Tables_number 166
_symmetry_space_group_name_Hall '-R 3 2"'
loop_
_atom_site_label
_atom_site_type_symbol
_atom_site_fract_x
_atom_site_fract_y
_atom_site_fract_z
_atom_site_occupancy
Nd1 Nd 0.0000 0.0000 0.2481 1
Nd2 Nd 0.0005 0.5003 0.6704 1
Y1 Y 0.0000 0.0000 0.0000 1
Y2 Y 0.0000 0.5000 0.0000 1
Pu1 Pu 0.0000 0.0000 0.5000 1

---

# 5
# SrAcGd2 (PBE, optimized geometry)
# Offset from the most stable computed form in meV per atom: 80.8
# Calculated volume in Å³/f.u.: 158.97
# E_form in meV/atom: 191
# DOS(E_F) in states/eV/f.u.: 9.6
data_SrAcGd2
_chemical_formula_sum 'Sr4 Ac4 Gd8'
_cell_length_a 8.599
_cell_length_b 8.599
_cell_length_c 8.599
_cell_angle_alpha 90.00
_cell_angle_beta 90.00
_cell_angle_gamma 90.00
_symmetry_space_group_name_H-M 'F m -3 m'
_symmetry_Int_Tables_number 225
_symmetry_space_group_name_Hall '-F 4 2 3'
loop_
_atom_site_label
_atom_site_type_symbol
_atom_site_fract_x
_atom_site_fract_y
_atom_site_fract_z
_atom_site_occupancy
Sr1 Sr 0.000 0.000 0.000 1
Ac1 Ac 0.000 0.000 0.500 1
Gd1 Gd 0.250 0.250 0.250 1

---

# 6
# TlZnSn (PBE, optimized geometry)
# Offset from the most stable computed form in meV per atom: 12.9
# Calculated volume in Å³/f.u.: 83.47
# E_form in meV/atom: 79
# DOS(E_F) in states/eV/f.u.: 1.1
data_TlZnSn
_chemical_formula_sum 'Tl4 Zn4 Sn4'
_cell_length_a 8.404
_cell_length_b 4.579
_cell_length_c 9.395
_cell_angle_alpha 90.00
_cell_angle_beta 112.56
_cell_angle_gamma 90.00
_symmetry_space_group_name_H-M 'C 1 2/m 1'
_symmetry_Int_Tables_number 12
loop_
_symmetry_equiv_pos_as_xyz
'x,y,z'
'-x,-y,-z'
'-x,y,-z'
'x,-y,z'
'x+1/2,y+1/2,z'
'-x+1/2,-y+1/2,-z'
'-x+1/2,y+1/2,-z'
'x+1/2,-y+1/2,z'
loop_
_atom_site_label
_atom_site_type_symbol
_atom_site_fract_x
_atom_site_fract_y
_atom_site_fract_z
_atom_site_occupancy
Tl1 Tl 0.107 0.000 0.381 1
Zn1 Zn 0.151 0.500 0.149 1
Sn1 Sn 0.171 0.500 0.852 1

---

# 7
# BeBiRh3 (PBE, optimized geometry)
# Offset from the most stable computed form in meV per atom: 1583.1
# Calculated volume in Å³/f.u.: 119.34
# E_form in meV/atom: 1570
# DOS(E_F) in states/eV/f.u.: 1.1
data_BeBiRh3
_chemical_formula_sum 'Be1 Bi1 Rh3'
_cell_length_a 4.923
_cell_length_b 4.923
_cell_length_c 4.923
_cell_angle_alpha 90.00
_cell_angle_beta 90.00
_cell_angle_gamma 90.00
_symmetry_space_group_name_H-M 'P m -3 m'
_symmetry_Int_Tables_number 221
_symmetry_space_group_name_Hall '-P 4 2 3'
loop_
_atom_site_label
_atom_site_type_symbol
_atom_site_fract_x
_atom_site_fract_y
_atom_site_fract_z
_atom_site_occupancy
Be1 Be 0.000 0.000 0.000 1
Bi1 Bi 0.500 0.500 0.500 1
Rh1 Rh 0.000 0.500 0.500 1

---

Number 1: mass density 6.9 g/cm³. Number 2: mass density 10.8 g/cm³. Number 3: mass density 4.2 g/cm³. Number 4: mass density 6.2 g/cm³. Number 5: mass density 6.6 g/cm³. Number 6: mass density 7.7 g/cm³. Number 7: mass density 7.3 g/cm³.